Entry 1:
The following is a PBE calculation of an optimized crystal structure of ErCoC, from Alexandria via LeMat-Bulk.

Cell: 3.5142 3.5156 3.6038 Å, 90.00 90.00 90.00°
Fractional positions:
Co: 0.5000 0.5000 0.5000
Er: 0.0000 0.0000 0.0000
C: 0.5000 0.5000 0.0000

Values from the calculation:
DFT formation energy ... -6.648 kcal/mol of atoms
Uncorrected energy ... -0.2665 hartree per atom
Relative energy among the computed polymorphs ... 0.058 eV/atom

=====

Entry 2:
The following is a PBE calculation of an optimized crystal structure of Er2CoC, from Alexandria via LeMat-Bulk.

Cell: 3.6235 7.0211 6.7755 Å, 104.99 105.51 90.00°
Fractional positions:
Er: 0.8687 0.4345 0.7380
Co: 0.5001 0.7500 0.0000
Co: 0.4999 0.2500 0.0000
Er: 0.1307 0.0655 0.2620
C: 0.9999 0.2500 0.0000
Er: 0.1313 0.5655 0.2620
Er: 0.8693 0.9345 0.7380
C: 0.0001 0.7500 0.0000

Values from the calculation:
DFT formation energy ... -6.636 kcal/mol of atoms
Uncorrected energy ... -0.2444 hartree per atom

=====

Entry 3:
The following is a PBE calculation of an optimized crystal structure of ErCoC, from Alexandria via LeMat-Bulk.

Cell: 3.3741 5.6499 4.9703 Å, 107.81 109.84 90.00°
Fractional positions:
C: 0.2203 0.7676 0.4407
Er: 0.8994 0.6834 0.7988
C: 0.7797 0.2324 0.5593
Er: 0.1006 0.3166 0.2012
Co: 0.3315 0.1217 0.6629
Co: 0.6685 0.8783 0.3371

Values from the calculation:
DFT formation energy ... -6.116 kcal/mol of atoms
Uncorrected energy ... -0.2657 hartree per atom
Relative energy among the computed polymorphs ... 0.081 eV/atom

=====

Entry 4:
The following is a PBE calculation of an optimized crystal structure of Er2Co17C2, from Alexandria via LeMat-Bulk.

Cell: 6.3862 6.3121 6.3121 Å, 83.47 83.57 83.57°
Last column: magnetic moment on the atom in μB.
Fractional positions:
Er: 0.6654 0.6510 0.6510  -0.27
Co: 0.0945 0.0971 0.0971  1.66
Co: 0.0000 0.5000 0.0000  1.59
Co: 0.0000 0.0000 0.5000  1.59
Co: 0.7190 0.2836 0.9974  1.07
Er: 0.3346 0.3490 0.3490  -0.27
Co: 0.3428 0.3482 0.8551  0.96
Co: 0.3428 0.8551 0.3482  0.96
Co: 0.0000 0.7119 0.2881  1.55
Co: 0.8656 0.3494 0.3494  1.55
Co: 0.0000 0.2881 0.7119  1.55
Co: 0.2810 0.0026 0.7164  1.07
Co: 0.1344 0.6506 0.6506  1.55
C: 0.5000 0.5000 0.0000  -0.06
C: 0.5000 0.0000 0.5000  -0.06
Co: 0.2810 0.7164 0.0026  1.07
Co: 0.9055 0.9029 0.9029  1.66
Co: 0.6572 0.6518 0.1449  0.96
Co: 0.6572 0.1449 0.6518  0.96
Co: 0.7190 0.9974 0.2836  1.07
Co: 0.5000 0.0000 0.0000  1.70

Values from the calculation:
DFT formation energy ... -1.456 kcal/mol of atoms
Uncorrected energy ... -0.2620 hartree per atom

=====

Entry 5:
The following is a PBE calculation of an optimized crystal structure of ErCo2C2, from Alexandria via LeMat-Bulk.

Cell: 3.3336 3.3336 5.4892 Å, 107.74 107.74 90.00°
Fractional positions:
Co: 0.7501 0.2499 0.5000
C: 0.3542 0.3542 0.7076
Er: 0.0000 0.0000 0.0000
Co: 0.2499 0.7501 0.5000
C: 0.6458 0.6458 0.2924

Values from the calculation:
DFT formation energy ... -3.224 kcal/mol of atoms
Uncorrected energy ... -0.2787 hartree per atom

=====

Entry 6:
The following is a PBE calculation of an optimized crystal structure of ErCoC, from Alexandria via LeMat-Bulk.

Cell: 3.7612 3.5682 6.6325 Å, 70.87 89.78 89.98°
Fractional positions:
C: 0.0193 0.6593 0.9466
Co: 0.0153 0.8759 0.6619
Er: 0.5199 0.1119 0.0169
Co: 0.0173 0.4657 0.2348
Er: 0.5151 0.4669 0.5167
C: 0.0159 0.9130 0.3509

Values from the calculation:
DFT formation energy ... -3.299 kcal/mol of atoms
Uncorrected energy ... -0.2612 hartree per atom
Relative energy among the computed polymorphs ... 0.203 eV/atom

=====

Question: The highest uncorrected energy belongs to which entry?
Answer: Er2CoC

=====

Question: Which formula does entry 4 have?
Answer: Er2Co17C2